A plane-wave DFT calculation with PBE-GGA was carried out for DyEr3Th2Bi6 after structural relaxation.

The space group is C2/m (No. 12) and the conventional cell measures 19.612, 4.513 and 8.995 Å, with angles of 90.00, 103.10 and 90.00 degrees. The inequivalent atoms are Dy at (0.000, 0.000, 0.000), Er at (0.000, 0.000, 0.500), Er at (0.167, 0.500, 0.834), Th at (0.165, 0.500, 0.331), Bi at (0.003, 0.500, 0.750), Bi at (0.165, 0.000, 0.590) and Bi at (0.167, 0.000, 0.075).

The calculation puts the density at 10.20 g cm⁻³. The calculation puts the uncorrected energy at -5.44 eV/atom. The energy of formation from the pure elements comes out at -8.846 eV/f.u.